(1)
{
  "formula": "Ti3PdSe",
  "functional": "PBE",
  "state": "relaxed",
  "e_form_raw_ev_per_fu": 1.94,
  "dos_at_fermi_per_ev_atom": 1.20,
  "magnetic_moment_mub_per_fu": 2.0,
  "cell": [[4.793, 0.000, 0.000], [0.000, 4.793, 0.000], [0.000, 0.000, 4.793]],
  "species": ["Pd", "Se", "Ti", "Ti", "Ti"],
  "fractional_positions": [[0.000, 0.000, 0.000], [0.500, 0.500, 0.500], [0.500, 0.000, 0.000], [0.000, 0.500, 0.000], [0.000, 0.000, 0.500]]
}



(2)
{
  "formula": "Ti2Pd2Se",
  "functional": "PBE",
  "state": "relaxed",
  "e_form_raw_ev_per_fu": -0.74,
  "dos_at_fermi_per_ev_atom": 0.97,
  "magnetic_moment_mub_per_fu": 1.0,
  "cell": [[-1.627, -2.776, -2.670], [3.169, 0.683, -2.641], [3.646, -5.052, -0.243]],
  "species": ["Se", "Ti", "Pd", "Pd", "Ti"],
  "fractional_positions": [[0.000, 0.000, 0.000], [0.750, 0.250, 0.500], [0.384, 0.384, 0.233], [0.616, 0.616, 0.767], [0.250, 0.750, 0.500]]
}



(3)
{
  "formula": "Ti2Pd2Se",
  "functional": "PBE",
  "state": "relaxed",
  "e_form_raw_ev_per_fu": -1.91,
  "dos_at_fermi_per_ev_atom": 0.87,
  "magnetic_moment_mub_per_fu": 0.0,
  "cell": [[7.229, 0.000, 0.000], [0.000, 7.229, 0.000], [0.000, 0.000, 3.274]],
  "species": ["Ti", "Ti", "Pd", "Pd", "Pd", "Se", "Ti", "Se", "Ti", "Pd"],
  "fractional_positions": [[0.164, 0.664, 0.500], [0.836, 0.336, 0.500], [0.632, 0.132, 0.000], [0.132, 0.368, 0.000], [0.868, 0.632, 0.000], [0.500, 0.500, 0.000], [0.336, 0.164, 0.500], [0.000, 0.000, 0.000], [0.664, 0.836, 0.500], [0.368, 0.868, 0.000]]
}



(4)
{
  "formula": "TiPd2Se2",
  "functional": "PBE",
  "state": "relaxed",
  "e_form_raw_ev_per_fu": -1.14,
  "dos_at_fermi_per_ev_atom": 0.40,
  "magnetic_moment_mub_per_fu": 0.0,
  "cell": [[7.030, 0.000, 0.000], [0.000, 7.030, 0.000], [0.000, 0.000, 3.568]],
  "species": ["Se", "Se", "Ti", "Ti", "Pd", "Pd", "Se", "Se", "Pd", "Pd"],
  "fractional_positions": [[0.681, 0.819, 0.500], [0.319, 0.181, 0.500], [0.000, 0.000, 0.000], [0.500, 0.500, 0.000], [0.133, 0.367, 0.000], [0.633, 0.133, 0.000], [0.819, 0.319, 0.500], [0.181, 0.681, 0.500], [0.867, 0.633, 0.000], [0.367, 0.867, 0.000]]
}



(5)
{
  "formula": "Ti4PdSe8",
  "functional": "PBE",
  "state": "relaxed",
  "e_form_raw_ev_per_fu": -12.58,
  "dos_at_fermi_per_ev_atom": 0.59,
  "magnetic_moment_mub_per_fu": 0.0,
  "cell": [[6.471, 0.000, 2.951], [2.563, 5.942, 2.951], [0.348, 0.229, 7.808]],
  "species": ["Ti", "Se", "Ti", "Pd", "Se", "Se", "Se", "Ti", "Ti", "Se", "Se", "Se", "Se"],
  "fractional_positions": [[0.000, 0.500, 0.000], [0.743, 0.246, 0.766], [0.500, 0.500, 0.000], [0.500, 0.500, 0.500], [0.754, 0.257, 0.234], [0.257, 0.754, 0.234], [0.246, 0.743, 0.766], [0.500, 0.000, 0.000], [0.000, 0.000, 0.000], [0.754, 0.754, 0.234], [0.246, 0.246, 0.766], [0.256, 0.256, 0.233], [0.744, 0.744, 0.767]]
}



(6)
{
  "formula": "Ti2Tl3PdSe6",
  "functional": "PBE",
  "state": "relaxed",
  "e_form_raw_ev_per_fu": -7.96,
  "dos_at_fermi_per_ev_atom": 0.60,
  "magnetic_moment_mub_per_fu": 0.0,
  "cell": [[6.580, 0.015, 0.021], [-3.276, 5.707, 0.021], [-1.080, -1.870, 7.736]],
  "species": ["Se", "Se", "Se", "Pd", "Tl", "Se", "Ti", "Tl", "Se", "Ti", "Tl", "Se"],
  "fractional_positions": [[0.720, 0.720, 0.180], [0.936, 0.596, 0.812], [0.064, 0.404, 0.188], [0.000, 0.000, 0.000], [0.837, 0.163, 0.500], [0.404, 0.064, 0.188], [0.330, 0.670, 0.000], [0.163, 0.837, 0.500], [0.596, 0.936, 0.812], [0.670, 0.330, 0.000], [0.500, 0.500, 0.500], [0.280, 0.280, 0.820]]
}



> What is the formula in the fourth record?

TiPd2Se2



Repeat the third record exactly.
{
  "formula": "Ti2Pd2Se",
  "functional": "PBE",
  "state": "relaxed",
  "e_form_raw_ev_per_fu": -1.91,
  "dos_at_fermi_per_ev_atom": 0.87,
  "magnetic_moment_mub_per_fu": 0.0,
  "cell": [[7.229, 0.000, 0.000], [0.000, 7.229, 0.000], [0.000, 0.000, 3.274]],
  "species": ["Ti", "Ti", "Pd", "Pd", "Pd", "Se", "Ti", "Se", "Ti", "Pd"],
  "fractional_positions": [[0.164, 0.664, 0.500], [0.836, 0.336, 0.500], [0.632, 0.132, 0.000], [0.132, 0.368, 0.000], [0.868, 0.632, 0.000], [0.500, 0.500, 0.000], [0.336, 0.164, 0.500], [0.000, 0.000, 0.000], [0.664, 0.836, 0.500], [0.368, 0.868, 0.000]]
}



Repeat the fifth record exactly.
{
  "formula": "Ti4PdSe8",
  "functional": "PBE",
  "state": "relaxed",
  "e_form_raw_ev_per_fu": -12.58,
  "dos_at_fermi_per_ev_atom": 0.59,
  "magnetic_moment_mub_per_fu": 0.0,
  "cell": [[6.471, 0.000, 2.951], [2.563, 5.942, 2.951], [0.348, 0.229, 7.808]],
  "species": ["Ti", "Se", "Ti", "Pd", "Se", "Se", "Se", "Ti", "Ti", "Se", "Se", "Se", "Se"],
  "fractional_positions": [[0.000, 0.500, 0.000], [0.743, 0.246, 0.766], [0.500, 0.500, 0.000], [0.500, 0.500, 0.500], [0.754, 0.257, 0.234], [0.257, 0.754, 0.234], [0.246, 0.743, 0.766], [0.500, 0.000, 0.000], [0.000, 0.000, 0.000], [0.754, 0.754, 0.234], [0.246, 0.246, 0.766], [0.256, 0.256, 0.233], [0.744, 0.744, 0.767]]
}